[1]
Here is a relaxed structure of Nd2Ho7Tc2 from the Alexandria database. Energies are from PBE-GGA.

## Properties
Raw total energy ... -123.07 eV per cell
Crystal system ... orthorhombic

Geometry as CIF:
```
data_Nd2Ho7Tc2
_chemical_formula_sum 'Nd4 Ho14 Tc4'
_cell_length_a 3.554
_cell_length_b 19.367
_cell_length_c 9.375
_cell_angle_alpha 90.00
_cell_angle_beta 90.00
_cell_angle_gamma 90.00
_symmetry_space_group_name_H-M 'I m m 2'
_symmetry_Int_Tables_number 44
loop_
_symmetry_equiv_pos_as_xyz
'x,y,z'
'-x,-y,z'
'-x,y,z'
'x,-y,z'
'x+1/2,y+1/2,z+1/2'
'-x+1/2,-y+1/2,z+1/2'
'-x+1/2,y+1/2,z+1/2'
'x+1/2,-y+1/2,z+1/2'
loop_
_atom_site_label
_atom_site_type_symbol
_atom_site_fract_x
_atom_site_fract_y
_atom_site_fract_z
Nd1 Nd 0.000 0.244 0.000
Ho1 Ho 0.000 0.112 0.694
Ho2 Ho 0.000 0.136 0.304
Ho3 Ho 0.000 0.420 0.515
Ho4 Ho 0.000 0.500 0.961
Tc1 Tc 0.000 0.000 0.218
Tc2 Tc 0.000 0.500 0.263
```

[2]
Here is a relaxed structure of LaNd5Tm from the Alexandria database. Energies are from PBE-GGA.

## Properties
Raw total energy ... -130.16 eV per cell
Crystal system ... monoclinic

Geometry as CIF:
```
data_LaNd5Tm
_chemical_formula_sum 'La4 Nd20 Tm4'
_cell_length_a 8.837
_cell_length_b 9.978
_cell_length_c 11.867
_cell_angle_alpha 90.00
_cell_angle_beta 109.81
_cell_angle_gamma 90.00
_symmetry_space_group_name_H-M 'C 1 2/c 1'
_symmetry_Int_Tables_number 15
loop_
_symmetry_equiv_pos_as_xyz
'x,y,z'
'-x,-y,-z'
'-x,y,-z+1/2'
'x,-y,z+1/2'
'x+1/2,y+1/2,z'
'-x+1/2,-y+1/2,-z'
'-x+1/2,y+1/2,-z+1/2'
'x+1/2,-y+1/2,z+1/2'
loop_
_atom_site_label
_atom_site_type_symbol
_atom_site_fract_x
_atom_site_fract_y
_atom_site_fract_z
La1 La 0.000 0.249 0.250
Nd1 Nd 0.000 0.400 0.750
Nd2 Nd 0.118 0.065 0.661
Nd3 Nd 0.170 0.402 0.536
Tm1 Tm 0.250 0.250 0.000
```

[3]
Here is a relaxed structure of Pm2ScAlO from the Alexandria database. Energies are from PBE-GGA.

## Properties
Formation energy (no corrections) ... -1.36 eV/atom
Raw total energy ... -31.32 eV per cell
Crystal system ... tetragonal

Geometry as CIF:
```
data_Pm2ScAlO
_chemical_formula_sum 'Pm2 Sc1 Al1 O1'
_cell_length_a 4.949
_cell_length_b 4.949
_cell_length_c 4.355
_cell_angle_alpha 90.00
_cell_angle_beta 90.00
_cell_angle_gamma 90.00
_symmetry_space_group_name_H-M 'P 4/m m m'
_symmetry_Int_Tables_number 123
_symmetry_space_group_name_Hall '-P 4 2'
loop_
_atom_site_label
_atom_site_type_symbol
_atom_site_fract_x
_atom_site_fract_y
_atom_site_fract_z
Pm1 Pm 0.000 0.500 0.000
Sc1 Sc 0.000 0.000 0.500
Al1 Al 0.500 0.500 0.500
O1 O 0.000 0.000 0.000
```

[4]
Here is a relaxed structure of RbNaTi2I8 from the Alexandria database. Energies are from PBE-GGA.

## Properties
Formation energy (no corrections) ... -0.89 eV/atom
Raw total energy ... -41.12 eV per cell
Crystal system ... trigonal

Geometry as CIF:
```
data_RbNaTi2I8
_chemical_formula_sum 'Rb1 Na1 Ti2 I8'
_cell_length_a 7.6774
_cell_length_b 7.6774
_cell_length_c 11.0811
_cell_angle_alpha 90.00
_cell_angle_beta 90.00
_cell_angle_gamma 120.00
_symmetry_space_group_name_H-M 'P -3'
_symmetry_Int_Tables_number 147
loop_
_symmetry_equiv_pos_as_xyz
'x,y,z'
'-x,-y,-z'
'-y,x-y,z'
'y,-x+y,-z'
'-x+y,-x,z'
'x-y,x,-z'
loop_
_atom_site_label
_atom_site_type_symbol
_atom_site_fract_x
_atom_site_fract_y
_atom_site_fract_z
Rb1 Rb 0.0000 0.0000 0.0000
Na1 Na 0.0000 0.0000 0.5000
Ti1 Ti 0.3333 0.6667 0.7556
I1 I 0.0064 0.3331 0.6858
I2 I 0.3333 0.6667 0.9930
```

[5]
Here is a relaxed structure of TaRu2Rh from the Alexandria database. Energies are from PBE-GGA.

## Properties
Raw total energy ... -150.65 eV per cell
ΔE to the lowest computed polymorph ... 0.357 eV/atom
Crystal system ... cubic

Geometry as CIF:
```
data_TaRu2Rh
_chemical_formula_sum 'Ta4 Ru8 Rh4'
_cell_length_a 6.239
_cell_length_b 6.239
_cell_length_c 6.239
_cell_angle_alpha 90.00
_cell_angle_beta 90.00
_cell_angle_gamma 90.00
_symmetry_space_group_name_H-M 'F m -3 m'
_symmetry_Int_Tables_number 225
_symmetry_space_group_name_Hall '-F 4 2 3'
loop_
_atom_site_label
_atom_site_type_symbol
_atom_site_fract_x
_atom_site_fract_y
_atom_site_fract_z
Ta1 Ta 0.000 0.000 0.000
Ru1 Ru 0.250 0.250 0.250
Rh1 Rh 0.000 0.000 0.500
```

[6]
Here is a relaxed structure of LiIrRh2 from the Alexandria database. Energies are from PBE-GGA.

## Properties
Raw total energy ... -50.10 eV per cell
ΔE to the lowest computed polymorph ... 0.230 eV/atom
Crystal system ... orthorhombic

Geometry as CIF:
```
data_LiIrRh2
_chemical_formula_sum 'Li2 Ir2 Rh4'
_cell_length_a 2.730
_cell_length_b 4.659
_cell_length_c 8.982
_cell_angle_alpha 90.00
_cell_angle_beta 90.00
_cell_angle_gamma 90.00
_symmetry_space_group_name_H-M 'C m m m'
_symmetry_Int_Tables_number 65
_symmetry_space_group_name_Hall '-C 2 2'
loop_
_atom_site_label
_atom_site_type_symbol
_atom_site_fract_x
_atom_site_fract_y
_atom_site_fract_z
Li1 Li 0.000 0.000 0.000
Ir1 Ir 0.000 0.000 0.500
Rh1 Rh 0.000 0.500 0.246
```

[7]
Here is a relaxed structure of Tb7DyEr12 from the Alexandria database. Energies are from PBE-GGA.

## Properties
Raw total energy ... -154.74 eV per cell
ΔE to the lowest computed polymorph ... 0.419 eV/atom
Crystal system ... cubic

Geometry as CIF:
```
data_Tb7DyEr12
_chemical_formula_sum 'Tb14 Dy2 Er24'
_cell_length_a 11.136
_cell_length_b 11.136
_cell_length_c 11.136
_cell_angle_alpha 90.00
_cell_angle_beta 90.00
_cell_angle_gamma 90.00
_symmetry_space_group_name_H-M 'I m -3 m'
_symmetry_Int_Tables_number 229
_symmetry_space_group_name_Hall '-I 4 2 3'
loop_
_atom_site_label
_atom_site_type_symbol
_atom_site_fract_x
_atom_site_fract_y
_atom_site_fract_z
Tb1 Tb 0.000 0.000 0.500
Tb2 Tb 0.250 0.250 0.250
Dy1 Dy 0.000 0.000 0.000
Er1 Er 0.000 0.249 0.249
```

[8]
Here is a relaxed structure of Cs2RuBr4F2 from the Alexandria database. Energies are from PBE-GGA.

## Properties
Formation energy (no corrections) ... -1.41 eV/atom
Raw total energy ... -68.23 eV per cell
Crystal system ... monoclinic

Geometry as CIF:
```
data_Cs2RuBr4F2
_chemical_formula_sum 'Cs4 Ru2 Br8 F4'
_cell_length_a 12.337
_cell_length_b 7.796
_cell_length_c 6.371
_cell_angle_alpha 90.00
_cell_angle_beta 105.85
_cell_angle_gamma 90.00
_symmetry_space_group_name_H-M 'C 1 2/m 1'
_symmetry_Int_Tables_number 12
loop_
_symmetry_equiv_pos_as_xyz
'x,y,z'
'-x,-y,-z'
'-x,y,-z'
'x,-y,z'
'x+1/2,y+1/2,z'
'-x+1/2,-y+1/2,-z'
'-x+1/2,y+1/2,-z'
'x+1/2,-y+1/2,z'
loop_
_atom_site_label
_atom_site_type_symbol
_atom_site_fract_x
_atom_site_fract_y
_atom_site_fract_z
Cs1 Cs 0.177 0.000 0.322
Ru1 Ru 0.000 0.500 0.000
Br1 Br 0.086 0.269 0.819
F1 F 0.133 0.500 0.244
```

[9]
Here is a relaxed structure of Li5AcSi2 from the Alexandria database. Energies are from PBE-GGA.

## Properties
Formation energy (no corrections) ... -0.23 eV/atom
Raw total energy ... -52.79 eV per cell
Crystal system ... orthorhombic

Geometry as CIF:
```
data_Li5AcSi2
_chemical_formula_sum 'Li10 Ac2 Si4'
_cell_length_a 4.420
_cell_length_b 7.830
_cell_length_c 9.782
_cell_angle_alpha 90.00
_cell_angle_beta 90.00
_cell_angle_gamma 90.00
_symmetry_space_group_name_H-M 'I m m m'
_symmetry_Int_Tables_number 71
_symmetry_space_group_name_Hall '-I 2 2'
loop_
_atom_site_label
_atom_site_type_symbol
_atom_site_fract_x
_atom_site_fract_y
_atom_site_fract_z
Li1 Li 0.000 0.000 0.000
Li2 Li 0.000 0.326 0.320
Ac1 Ac 0.000 0.500 0.000
Si1 Si 0.000 0.000 0.258
```

[10]
Here is a relaxed structure of Sm2Sn8Rh from the Alexandria database. Energies are from PBE-GGA.

## Properties
Raw total energy ... -53.51 eV per cell
Crystal system ... tetragonal

Geometry as CIF:
```
data_Sm2Sn8Rh
_chemical_formula_sum 'Sm2 Sn8 Rh1'
_cell_length_a 4.734
_cell_length_b 4.734
_cell_length_c 12.527
_cell_angle_alpha 90.00
_cell_angle_beta 90.00
_cell_angle_gamma 90.00
_symmetry_space_group_name_H-M 'P 4/m m m'
_symmetry_Int_Tables_number 123
_symmetry_space_group_name_Hall '-P 4 2'
loop_
_atom_site_label
_atom_site_type_symbol
_atom_site_fract_x
_atom_site_fract_y
_atom_site_fract_z
Sm1 Sm 0.000 0.000 0.186
Sn1 Sn 0.000 0.500 0.000
Sn2 Sn 0.000 0.500 0.378
Sn3 Sn 0.500 0.500 0.195
Rh1 Rh 0.000 0.000 0.500
```

[11]
Here is a relaxed structure of NaZn12Pt4 from the Alexandria database. Energies are from PBE-GGA.

## Properties
Raw total energy ... -83.48 eV per cell
Crystal system ... cubic

Geometry as CIF:
```
data_NaZn12Pt4
_chemical_formula_sum 'Na2 Zn24 Pt8'
_cell_length_a 8.760
_cell_length_b 8.760
_cell_length_c 8.760
_cell_angle_alpha 90.00
_cell_angle_beta 90.00
_cell_angle_gamma 90.00
_symmetry_space_group_name_H-M 'I m -3'
_symmetry_Int_Tables_number 204
_symmetry_space_group_name_Hall '-I 2 2 3'
loop_
_atom_site_label
_atom_site_type_symbol
_atom_site_fract_x
_atom_site_fract_y
_atom_site_fract_z
Na1 Na 0.000 0.000 0.000
Zn1 Zn 0.000 0.154 0.351
Pt1 Pt 0.250 0.250 0.250
```

[12]
Here is a relaxed structure of Zn2FeNiSe from the Alexandria database. Energies are from PBE-GGA.

## Properties
Formation energy (no corrections) ... 0.75 eV/atom
Raw total energy ... -16.55 eV per cell
Crystal system ... tetragonal

Geometry as CIF:
```
data_Zn2FeNiSe
_chemical_formula_sum 'Zn2 Fe1 Ni1 Se1'
_cell_length_a 4.642
_cell_length_b 4.642
_cell_length_c 4.383
_cell_angle_alpha 90.00
_cell_angle_beta 90.00
_cell_angle_gamma 90.00
_symmetry_space_group_name_H-M 'P 4/m m m'
_symmetry_Int_Tables_number 123
_symmetry_space_group_name_Hall '-P 4 2'
loop_
_atom_site_label
_atom_site_type_symbol
_atom_site_fract_x
_atom_site_fract_y
_atom_site_fract_z
Zn1 Zn 0.000 0.500 0.000
Fe1 Fe 0.000 0.000 0.000
Ni1 Ni 0.000 0.000 0.500
Se1 Se 0.500 0.500 0.500
```